[1]
A crystal of MgZnAsSe2 relaxed with PBEsol. Source: Alexandria, functional SCAN.

Cell: 5.0142 5.0142 4.5649 Å, 90.00 90.00 90.00°
Closest atoms and distances in Å follow each position.
Space group P4/mmm (No. 123)
Unique sites:
Mg1 0.0000 0.0000 0.0000  8 Se 3.39, 4 As 3.55
Zn1 0.5000 0.5000 0.5000  2 As 2.28, 4 Se 2.51
As1 0.5000 0.5000 0.0000  2 Zn 2.28
Se1 0.0000 0.5000 0.5000  2 Zn 2.51

Summary:
Size of the total moment (μB per formula unit): 0.00

=====

[2]
A crystal of ZrInSe relaxed with PBEsol. Source: Alexandria, functional SCAN.

Cell: 6.5419 6.5419 6.5419 Å, 90.00 90.00 90.00°
Closest atoms and distances in Å follow each position.
Space group F-43m (No. 216)
Unique sites:
Zr1 0.0000 0.0000 0.0000  4 Se 2.83
In1 0.0000 0.0000 0.5000  4 Se 2.83
Se1 0.2500 0.2500 0.7500  4 Zr 2.83, 4 In 2.83

Summary:
Size of the total moment (μB per formula unit): 0.00
E above lowest polymorph (eV/atom): 0.645

=====

Number 1: formation energy from raw total energies 25 kJ/mol of atoms. Number 2: formation energy from raw total energies -14 kJ/mol of atoms.